#one
DFT (PBE) results for an optimized crystal structure of YMo2Ir.

Output
- magnetic moment (μB per formula unit) = 0.0
- SG = I-42d

Cell: 6.0757 6.0757 6.0757 Å, 101.28 101.28 127.50°
Positions (direct):
Y  0.0000  0.0000  0.0000
Y  0.7500  0.2500  0.5000
Mo  0.1730  0.6250  0.0480
Mo  0.3750  0.4230  0.5480
Mo  0.5770  0.1250  0.9520
Mo  0.8750  0.8270  0.4520
Ir  0.2500  0.7500  0.5000
Ir  0.5000  0.5000  0.0000



#two
DFT (PBE) results for an optimized crystal structure of YMo2Ir.

Output
- magnetic moment (μB per formula unit) = 0.0
- SG = P4mm

Cell: 2.8867 2.8867 8.6392 Å, 90.00 90.00 90.00°
Positions (direct):
Y  0.0000  0.0000  0.0000
Mo  0.0000  0.0000  0.4581
Mo  0.5000  0.5000  0.7069
Ir  0.5000  0.5000  0.2617



#three
DFT (PBE) results for an optimized crystal structure of YMo2Ir.

Output
- magnetic moment (μB per formula unit) = 0.0
- SG = F-43m

Cell: 4.6292 4.6292 4.6292 Å, 60.00 60.00 60.00°
Positions (direct):
Y  0.0000  0.0000  0.0000
Mo  0.5000  0.5000  0.5000
Mo  0.7500  0.7500  0.7500
Ir  0.2500  0.2500  0.2500



#four
DFT (PBE) results for an optimized crystal structure of YMo2Ir.

Output
- magnetic moment (μB per formula unit) = 0.0
- SG = P2/m

Cell: 2.8934 4.7811 5.2044 Å, 90.00 100.93 90.00°
Positions (direct):
Y  0.0000  0.0000  0.0000
Mo  0.2720  0.5000  0.7507
Mo  0.7280  0.5000  0.2493
Ir  0.5000  0.0000  0.5000



Stability, highest: #three



#one
DFT (PBE) results for an optimized crystal structure of YMo2Ir.

Output
- magnetic moment (μB per formula unit) = 0.0
- SG = C2/m

Cell: 5.4613 5.4613 2.8669 Å, 99.20 99.20 120.02°
Positions (direct):
Y  0.0000  0.0000  0.0000
Mo  0.0000  0.5000  0.5000
Mo  0.5000  0.0000  0.5000
Ir  0.5000  0.5000  0.0000



#two
DFT (PBE) results for an optimized crystal structure of YMo2Ir.

Output
- magnetic moment (μB per formula unit) = 0.0
- SG = P4/mmm

Cell: 3.8542 3.8542 4.8807 Å, 90.00 90.00 90.00°
Positions (direct):
Y  0.0000  0.0000  0.0000
Mo  0.0000  0.5000  0.5000
Mo  0.5000  0.0000  0.5000
Ir  0.5000  0.5000  0.0000



Stability, highest: #two